Record 1
## Ba4YOs (GGA-PBEsol)

Data for a geometry-optimized Ba4YOs structure.

As for the theoretical density: 6.62 g/cm³. Its calculated formation energy is 121.66 kJ per mole of atoms. As for the total magnetization: 0.000 μB/f.u. Its total energy is -3.34 eV per atom.

a = 6.647 Å, b = 6.647 Å, c = 6.647 Å
α = 60.00°, β = 60.00°, γ = 60.00°
Element x y z (fractional)
1 Ba 0.376 0.376 0.376
2 Ba 0.376 0.376 0.871
3 Ba 0.376 0.871 0.376
4 Ba 0.871 0.376 0.376
5 Y 0.000 0.000 0.000
6 Os 0.750 0.750 0.750

=====

Record 2
## Ba2ScTaO6 (GGA-PBEsol)

Data for a geometry-optimized Ba2ScTaO6 structure.

As for the theoretical density: 7.14 g/cm³. The energy relative to the elements, uncorrected comes out at -32.298 eV/f.u. As for the total magnetization: 0.000 μB/f.u. Its total energy is -8.72 eV per atom.

a = 5.811 Å, b = 5.811 Å, c = 5.811 Å
α = 60.00°, β = 60.00°, γ = 60.00°
Element x y z (fractional)
1 Ba 0.250 0.250 0.250
2 Ba 0.750 0.750 0.750
3 Sc 0.000 0.000 0.000
4 Ta 0.500 0.500 0.500
5 O 0.257 0.257 0.743
6 O 0.257 0.743 0.257
7 O 0.257 0.743 0.743
8 O 0.743 0.257 0.257
9 O 0.743 0.257 0.743
10 O 0.743 0.743 0.257

=====

Record 3
## Li3NiOF3 (GGA-PBEsol)

Data for a geometry-optimized Li3NiOF3 structure.

As for the theoretical density: 3.72 g/cm³. The energy relative to the elements, uncorrected comes out at -18.211 eV/f.u. As for the polymorph energy (0 for the lowest one): 20 meV per atom. As for the total magnetization: 2.003 μB/f.u. Its total energy is -5.16 eV per atom.

a = 4.981 Å, b = 4.981 Å, c = 10.040 Å
α = 100.10°, β = 100.10°, γ = 33.76°
Element x y z (fractional)
1 Li 0.000 0.000 0.000
2 Li 0.000 0.000 0.500
3 Li 0.248 0.248 0.881
4 Li 0.496 0.496 0.748
5 Li 0.504 0.504 0.252
6 Li 0.752 0.752 0.119
7 Ni 0.244 0.244 0.382
8 Ni 0.756 0.756 0.618
9 O 0.370 0.370 0.562
10 O 0.630 0.630 0.438
11 F 0.123 0.123 0.701
12 F 0.125 0.125 0.180
13 F 0.375 0.375 0.061
14 F 0.625 0.625 0.939
15 F 0.875 0.875 0.820
16 F 0.877 0.877 0.299

=====

Record 4
## NbSi2Hg (GGA-PBEsol)

Data for a geometry-optimized NbSi2Hg structure.

As for the theoretical density: 8.09 g/cm³. The energy relative to the elements, uncorrected comes out at 1.872 eV/f.u. As for the total magnetization: 0.000 μB/f.u. Its total energy is -5.25 eV per atom.

a = 5.761 Å, b = 5.761 Å, c = 5.761 Å
α = 104.58°, β = 104.58°, γ = 119.77°
Element x y z (fractional)
1 Nb 0.000 0.000 0.000
2 Nb 0.750 0.250 0.500
3 Si 0.127 0.125 0.502
4 Si 0.375 0.873 0.998
5 Si 0.623 0.625 0.498
6 Si 0.875 0.377 0.002
7 Hg 0.250 0.750 0.500
8 Hg 0.500 0.500 0.000

=====

Question: Number 2 is which compound?
Answer: Ba2ScTaO6

=====

Question: theoretical density of number 2 (Ba2ScTaO6)?
Answer: 7.14 g/cm³

=====

Question: Which of these has the lowest theoretical density?
Answer: Li3NiOF3